[1]
First-principles (PBE) data for ScAl after structural relaxation, as listed in Alexandria via LeMat-Bulk.

Values from the calculation:
E_form ... 0.74 eV per atom
VASP energy ... -8.596 eV/f.u.
Calculated volume ... 37.8 A^3/atom

a b c (Å): 8.4565 8.4565 8.4565
angles (deg): 90.00 90.00 90.00
Closest atoms and distances in Å follow each position.
Sites, in units of the cell vectors:
Sc (0.2985, 0.2985, 0.2985)  4 Al 2.74-2.86
Sc (0.2985, 0.7015, 0.7015)  4 Al 2.74-2.86
Sc (0.7015, 0.2985, 0.7015)  4 Al 2.74-2.86
Sc (0.7015, 0.7015, 0.2985)  4 Al 2.74-2.86
Sc (0.7985, 0.7985, 0.7985)  4 Al 2.74-2.86
Sc (0.7985, 0.2015, 0.2015)  4 Al 2.74-2.86
Sc (0.2015, 0.7985, 0.2015)  4 Al 2.74-2.86
Sc (0.2015, 0.2015, 0.7985)  4 Al 2.74-2.86
Al (0.1114, 0.1114, 0.1114)  3 Al 2.67, 4 Sc 2.74-2.86
Al (0.1114, 0.8886, 0.8886)  3 Al 2.67, 4 Sc 2.74-2.86
Al (0.8886, 0.1114, 0.8886)  3 Al 2.67, 4 Sc 2.74-2.86
Al (0.8886, 0.8886, 0.1114)  3 Al 2.67, 4 Sc 2.74-2.86
Al (0.6114, 0.6114, 0.6114)  3 Al 2.67, 4 Sc 2.74-2.86
Al (0.6114, 0.3886, 0.3886)  3 Al 2.67, 4 Sc 2.74-2.86
Al (0.3886, 0.6114, 0.3886)  3 Al 2.67, 4 Sc 2.74-2.86
Al (0.3886, 0.3886, 0.6114)  3 Al 2.67, 4 Sc 2.74-2.86

[2]
First-principles (PBE) data for Tb5CeIn6 after structural relaxation, as listed in Alexandria via LeMat-Bulk.

Values from the calculation:
E_form ... -0.45 eV per atom
VASP energy ... -50.918 eV/f.u.
Calculated volume ... 27.2 A^3/atom

a b c (Å): 5.3719 7.5343 9.2924
angles (deg): 66.08 73.52 90.00
Closest atoms and distances in Å follow each position.
Sites, in units of the cell vectors:
Tb (0.6628, 0.1627, 0.6745)  8 In 3.28-3.31
Tb (0.3319, 0.3319, 0.3362)  8 In 3.25-3.26
Tb (0.0000, 0.5000, 0.0000)  8 In 3.24-3.30
Tb (0.6681, 0.6681, 0.6638)  8 In 3.25-3.26
Tb (0.3372, 0.8373, 0.3255)  8 In 3.28-3.31
Ce (0.0000, 0.0000, 0.0000)  8 In 3.33-3.34
In (0.8306, 0.5753, 0.3388)  7 Tb 3.25-3.31, 1 Ce 3.34
In (0.8306, 0.0858, 0.3388)  7 Tb 3.25-3.31, 1 Ce 3.34
In (0.5000, 0.7394, 0.0000)  6 Tb 3.24-3.28, 2 Ce 3.33, 1 In 3.61
In (0.5000, 0.2606, 0.0000)  6 Tb 3.24-3.28, 2 Ce 3.33, 1 In 3.61
In (0.1694, 0.9142, 0.6612)  7 Tb 3.25-3.31, 1 Ce 3.34
In (0.1694, 0.4247, 0.6612)  7 Tb 3.25-3.31, 1 Ce 3.34

[3]
First-principles (PBE) data for K4Ho3ZrO8 after structural relaxation, as listed in Alexandria via LeMat-Bulk.

Values from the calculation:
VASP energy ... -108.826 eV/f.u.
E_form (uncorrected) ... -2656 meV/atom
Calculated volume ... 15.9 A^3/atom

a b c (Å): 6.8517 7.3911 6.8522
angles (deg): 117.61 120.00 90.00
Closest atoms and distances in Å follow each position.
Sites, in units of the cell vectors:
K (0.5000, 0.0000, 0.0000)  6 O 2.85
K (0.5000, 0.0000, 0.5000)  6 O 2.77-2.79
K (0.0000, 0.0000, 0.0000)  6 O 2.77-2.79
K (0.0000, 0.0000, 0.5000)  6 O 2.77-2.79
Ho (0.5000, 0.5000, 0.0000)  6 O 2.29-2.32
Ho (0.5000, 0.5000, 0.5000)  6 O 2.29-2.32
Ho (0.0000, 0.5000, 0.5000)  6 O 2.29-2.32
Zr (0.0000, 0.5000, 0.0000)  6 O 2.22
O (0.2216, 0.6833, 0.9617)  1 Zr 2.22, 2 Ho 2.32
O (0.2216, 0.6833, 0.4432)  1 Zr 2.22, 2 Ho 2.32
O (0.2717, 0.3149, 0.5433)  3 Ho 2.29
O (0.7401, 0.6833, 0.9617)  1 Zr 2.22, 2 Ho 2.32
O (0.2599, 0.3167, 0.0383)  1 Zr 2.22, 2 Ho 2.32
O (0.7283, 0.6851, 0.4567)  3 Ho 2.29
O (0.7784, 0.3167, 0.5568)  1 Zr 2.22, 2 Ho 2.32
O (0.7784, 0.3167, 0.0383)  1 Zr 2.22, 2 Ho 2.32

[4]
First-principles (PBE) data for GaSb2W after structural relaxation, as listed in Alexandria via LeMat-Bulk.

Values from the calculation:
VASP energy ... -21.286 eV/f.u.
E_form (uncorrected) ... 735 meV/atom
Calculated volume ... 30.7 A^3/atom

a b c (Å): 6.2680 6.2680 7.6621
angles (deg): 65.86 65.86 90.00
Closest atoms and distances in Å follow each position.
Sites, in units of the cell vectors:
Sb (0.6422, 0.1250, 0.2500)  2 W 2.65, 2 Ga 2.78
Sb (0.1078, 0.6250, 0.2500)  2 W 2.65, 2 Ga 2.78
Sb (0.3750, 0.3578, 0.7500)  2 W 2.65, 2 Ga 2.78
Sb (0.8750, 0.8922, 0.7500)  2 W 2.65, 2 Ga 2.78
Ga (0.5000, 0.5000, 0.0000)  4 Sb 2.78
Ga (0.2500, 0.7500, 0.5000)  4 Sb 2.78
W (0.0000, 0.0000, 0.0000)  4 Sb 2.65
W (0.7500, 0.2500, 0.5000)  4 Sb 2.65

[5]
First-principles (PBE) data for RbPS4 after structural relaxation, as listed in Alexandria via LeMat-Bulk.

Values from the calculation:
VASP energy ... -25.282 eV/f.u.
Offset from the most stable computed form ... 0 meV/atom
E_form (uncorrected) ... -399 meV/atom
Calculated volume ... 28.5 A^3/atom

a b c (Å): 6.6331 7.3896 8.0154
angles (deg): 117.45 100.28 90.00
Closest atoms and distances in Å follow each position.
Sites, in units of the cell vectors:
Rb (0.7818, 0.7792, 0.5583)  8 S 3.42-3.70
Rb (0.2182, 0.2208, 0.4417)  8 S 3.42-3.70
P (0.2283, 0.5680, 0.1360)  3 S 2.02-2.20
P (0.7717, 0.4320, 0.8640)  3 S 2.02-2.20
S (0.2493, 0.7118, 0.4237)  1 P 2.02
S (0.5301, 0.2110, 0.8637)  1 S 2.06, 1 P 2.29
S (0.0000, 0.2995, 0.0000)  2 P 2.20
S (0.4699, 0.3473, 0.1363)  1 S 2.06, 1 P 2.29
S (0.7507, 0.2882, 0.5763)  1 P 2.02
S (0.4699, 0.7890, 0.1363)  1 S 2.06, 1 P 2.29
S (0.0000, 0.7005, 0.0000)  2 P 2.20
S (0.5301, 0.6527, 0.8637)  1 S 2.06, 1 P 2.29

[6]
First-principles (PBE) data for Ca2BN2 after structural relaxation, as listed in Alexandria via LeMat-Bulk.

Values from the calculation:
VASP energy ... -25.304 eV/f.u.
Offset from the most stable computed form ... 1385 meV/atom
E_form (uncorrected) ... 406 meV/atom
Calculated volume ... 15.0 A^3/atom

a b c (Å): 4.9788 4.9788 4.6368
angles (deg): 57.53 57.53 90.00
Closest atoms and distances in Å follow each position.
Sites, in units of the cell vectors:
Ca (0.7500, 0.2500, 0.5000)  4 N 2.64, 4 B 2.91
Ca (0.2500, 0.7500, 0.5000)  4 N 2.64, 4 B 2.91
B (0.0000, 0.0000, 0.0000)  2 N 2.38
N (0.3945, 0.3945, 0.2109)  1 N 1.27
N (0.6055, 0.6055, 0.7891)  1 N 1.27

[7]
First-principles (PBE) data for PAuS2N after structural relaxation, as listed in Alexandria via LeMat-Bulk.

Values from the calculation:
VASP energy ... -19.231 eV/f.u.
Offset from the most stable computed form ... 530 meV/atom
E_form (uncorrected) ... 1207 meV/atom
Calculated volume ... 14.9 A^3/atom

a b c (Å): 4.3423 4.3423 3.9396
angles (deg): 90.00 90.00 90.00
Closest atoms and distances in Å follow each position.
Sites, in units of the cell vectors:
P (0.0000, 0.0000, 0.5000)  2 N 1.97
S (0.0000, 0.5000, 0.0000)  2 N 2.17
S (0.5000, 0.0000, 0.0000)  2 N 2.17
Au (0.5000, 0.5000, 0.5000)  8 S 2.93, 4 P 3.07
N (0.0000, 0.0000, 0.0000)  2 P 1.97, 4 S 2.17

[8]
First-principles (PBE) data for Pm2BeGe4Au3 after structural relaxation, as listed in Alexandria via LeMat-Bulk.

Values from the calculation:
E_form ... -0.47 eV per atom
VASP energy ... -46.205 eV/f.u.
Calculated volume ... 20.0 A^3/atom

a b c (Å): 4.2393 4.2393 11.1232
angles (deg): 90.00 90.00 90.00
Closest atoms and distances in Å follow each position.
Sites, in units of the cell vectors:
Pm (0.5000, 0.0000, 0.2671)  4 Ge 3.22, 6 Au 3.28-3.35, 2 Be 3.35
Pm (0.0000, 0.5000, 0.7329)  4 Ge 3.22, 6 Au 3.28-3.35, 2 Be 3.35
Be (0.5000, 0.5000, 0.5000)  4 Ge 2.55
Ge (0.5000, 0.5000, 0.0000)  4 Au 2.67
Ge (0.0000, 0.0000, 0.0000)  4 Au 2.67
Ge (0.5000, 0.0000, 0.6278)  3 Au 2.51-2.55, 2 Be 2.55
Ge (0.0000, 0.5000, 0.3722)  3 Au 2.51-2.55, 2 Be 2.55
Au (0.0000, 0.0000, 0.5000)  4 Ge 2.55
Au (0.5000, 0.0000, 0.8533)  5 Ge 2.51-2.67
Au (0.0000, 0.5000, 0.1467)  5 Ge 2.51-2.67

[9]
First-principles (PBE) data for Ba2InAg4Ge3 after structural relaxation, as listed in Alexandria via LeMat-Bulk.

Values from the calculation:
E_form ... -0.28 eV per atom
VASP energy ... -34.610 eV/f.u.
Calculated volume ... 24.6 A^3/atom

a b c (Å): 4.6605 4.6605 11.3354
angles (deg): 90.00 90.00 90.00
Closest atoms and distances in Å follow each position.
Sites, in units of the cell vectors:
Ba (0.5000, 0.0000, 0.2395)  6 Ge 3.55-3.76, 8 Ag 3.56-3.58, 2 In 3.76
Ba (0.0000, 0.5000, 0.7605)  6 Ge 3.55-3.76, 8 Ag 3.56-3.58, 2 In 3.76
In (0.5000, 0.5000, 0.5000)  4 Ag 2.82
Ag (0.5000, 0.5000, 0.0000)  4 Ge 2.72
Ag (0.0000, 0.0000, 0.0000)  4 Ge 2.72
Ag (0.5000, 0.0000, 0.6408)  3 Ge 2.67-2.82, 2 In 2.82
Ag (0.0000, 0.5000, 0.3592)  3 Ge 2.67-2.82, 2 In 2.82
Ge (0.0000, 0.0000, 0.5000)  4 Ag 2.82
Ge (0.5000, 0.0000, 0.8761)  5 Ag 2.67-2.72
Ge (0.0000, 0.5000, 0.1239)  5 Ag 2.67-2.72

[10]
First-principles (PBE) data for OsNClF2 after structural relaxation, as listed in Alexandria via LeMat-Bulk.

Values from the calculation:
VASP energy ... -17.559 eV/f.u.
Offset from the most stable computed form ... 1661 meV/atom
E_form (uncorrected) ... 1517 meV/atom
Calculated volume ... 15.7 A^3/atom

a b c (Å): 4.9089 4.9089 3.2572
angles (deg): 90.00 90.00 90.00
Closest atoms and distances in Å follow each position.
Sites, in units of the cell vectors:
N (0.0000, 0.0000, 0.5000)  2 Cl 1.63
F (0.0000, 0.5000, 0.0000)  2 Cl 2.45
F (0.5000, 0.0000, 0.0000)  2 Cl 2.45
Os (0.5000, 0.5000, 0.5000)  8 F 2.95, 2 Os 3.26
Cl (0.0000, 0.0000, 0.0000)  2 N 1.63

Among the records above, which one has the highest VASP energy? ScAl

VASP energy of number 7 (PAuS2N)? -19.231 eV/f.u.

Which formula does entry 8 have? Pm2BeGe4Au3